Below is CrWNF2 after structural relaxation, with properties calculated at the GGA+U level.

Computed properties:
For the polymorph energy (0 for the lowest one), the calculation gives 0.0 meV/atom. The final energy is -6.224 eV per atom. As for the density of states at the Fermi level: 0.8 states/eV per cell. The calculation puts the calculated density at 6.52 g cm⁻³.

a b c (Å): 4.261 4.261 4.040
angles (deg): 90.00 90.00 90.00
Fractional positions:
Cr (0.000, 0.000, 0.000)
W (0.500, 0.500, 0.500)
N (0.500, 0.500, 0.000)
F (0.000, 0.500, 0.500)
F (0.500, 0.000, 0.500)